A plane-wave DFT calculation with PBE was carried out for GeIrOF2 after structural relaxation. Values from VASP.

Values from the calculation:
Calculated total energy ... -4.583 eV/atom
Energy relative to the elements, uncorrected ... -0.147 eV/atom

Cell and atoms, written as Quantum ESPRESSO input:
```
&SYSTEM
  ibrav = 0, nat = 5, ntyp = 4
/
ATOMIC_SPECIES
F 19.00 F.upf
O 16.00 O.upf
Ir 192.22 Ir.upf
Ge 72.64 Ge.upf
ATOMIC_POSITIONS angstrom
F 2.120 0.000 0.000
O 0.000 0.000 1.903
Ir 2.120 2.120 1.903
F 0.000 2.120 0.000
Ge 0.000 0.000 0.000
CELL_PARAMETERS angstrom
4.240 0.000 0.000
0.000 4.240 0.000
0.000 0.000 3.807
```

A plane-wave DFT calculation with PBE was carried out for GeIrOF2 after structural relaxation. Values from VASP.

Values from the calculation:
Calculated total energy ... -4.912 eV/atom
Energy relative to the elements, uncorrected ... -0.476 eV/atom

Cell and atoms, written as Quantum ESPRESSO input:
```
&SYSTEM
  ibrav = 0, nat = 5, ntyp = 4
/
ATOMIC_SPECIES
F 19.00 F.upf
Ir 192.22 Ir.upf
O 16.00 O.upf
Ge 72.64 Ge.upf
ATOMIC_POSITIONS angstrom
F 0.041 -0.237 -2.235
Ir 0.000 0.000 0.000
O -1.630 -0.903 0.066
F -1.091 1.952 -0.227
Ge -2.680 0.811 -2.396
CELL_PARAMETERS angstrom
-2.182 3.904 -0.454
0.082 -0.474 -4.469
-3.260 -1.807 0.132
```

Sequential calculated volume output: 68.4, 75.4 Å³/f.u.
Sequential ΔE to the lowest computed polymorph output: 329.7, 0.0 meV per atom